Computed, not measured: crystalline PuPaCrTc at its relaxed geometry at the PBE level of DFT.

The structure in CIF format:
```
data_PuPaCrTc
_chemical_formula_sum 'Pu4 Pa4 Cr4 Tc4'
_cell_length_a 6.786
_cell_length_b 6.786
_cell_length_c 6.786
_cell_angle_alpha 90.00
_cell_angle_beta 90.00
_cell_angle_gamma 90.00
_space_group_name_H-M_alt 'F -4 3 m'
_space_group_IT_number 216
_space_group_name_Hall 'F -4 2 3'
loop_
_atom_site_label
_atom_site_type_symbol
_atom_site_fract_x
_atom_site_fract_y
_atom_site_fract_z
_atom_site_occupancy
Pu1 Pu 0.000 0.000 0.000 1
Pa1 Pa 0.000 0.000 0.500 1
Cr1 Cr 0.250 0.250 0.750 1
Tc1 Tc 0.250 0.250 0.250 1
```

- ΔH_f (0 K) (meV per atom) = 130

Computed, not measured: crystalline TbSmYEr at its relaxed geometry at the PBE level of DFT.

The structure in CIF format:
```
data_TbSmYEr
_chemical_formula_sum 'Tb4 Sm4 Y4 Er4'
_cell_length_a 8.049
_cell_length_b 8.049
_cell_length_c 8.049
_cell_angle_alpha 90.00
_cell_angle_beta 90.00
_cell_angle_gamma 90.00
_space_group_name_H-M_alt 'F -4 3 m'
_space_group_IT_number 216
_space_group_name_Hall 'F -4 2 3'
loop_
_atom_site_label
_atom_site_type_symbol
_atom_site_fract_x
_atom_site_fract_y
_atom_site_fract_z
_atom_site_occupancy
Tb1 Tb 0.000 0.000 0.000 1
Sm1 Sm 0.250 0.250 0.750 1
Y1 Y 0.250 0.250 0.250 1
Er1 Er 0.000 0.000 0.500 1
```

- ΔH_f (0 K) (meV per atom) = 138
- relative energy among the computed polymorphs (meV/atom) = 118

Computed, not measured: crystalline Zn2AsPb at its relaxed geometry at the PBE level of DFT.

The structure in CIF format:
```
data_Zn2AsPb
_chemical_formula_sum 'Zn4 As2 Pb2'
_cell_length_a 7.883
_cell_length_b 3.936
_cell_length_c 6.067
_cell_angle_alpha 90.00
_cell_angle_beta 108.99
_cell_angle_gamma 90.00
_space_group_name_H-M_alt 'C 1 m 1'
_space_group_IT_number 8
loop_
_space_group_symop_operation_xyz
'x,y,z'
'x,-y,z'
'x+1/2,y+1/2,z'
'x+1/2,-y+1/2,z'
loop_
_atom_site_label
_atom_site_type_symbol
_atom_site_fract_x
_atom_site_fract_y
_atom_site_fract_z
_atom_site_occupancy
Zn1 Zn 0.000 0.000 0.000 1
Zn2 Zn 0.244 0.500 0.176 1
As1 As 0.478 0.000 0.326 1
Pb1 Pb 0.223 0.000 0.710 1
```

- ΔH_f (0 K) (meV per atom) = 77

Computed, not measured: crystalline K2TaSi at its relaxed geometry at the PBE level of DFT.

The structure in CIF format:
```
data_K2TaSi
_chemical_formula_sum 'K2 Ta1 Si1'
_cell_length_a 3.000
_cell_length_b 6.189
_cell_length_c 5.050
_cell_angle_alpha 90.00
_cell_angle_beta 94.52
_cell_angle_gamma 90.00
_space_group_name_H-M_alt 'P 1 2/m 1'
_space_group_IT_number 10
loop_
_space_group_symop_operation_xyz
'x,y,z'
'-x,-y,-z'
'-x,y,-z'
'x,-y,z'
loop_
_atom_site_label
_atom_site_type_symbol
_atom_site_fract_x
_atom_site_fract_y
_atom_site_fract_z
_atom_site_occupancy
K1 K 0.231 0.000 0.258 1
Ta1 Ta 0.500 0.500 0.000 1
Si1 Si 0.000 0.500 0.500 1
```

- uncorrected formation energy (eV/atom) = 1.004

Computed, not measured: crystalline ThPaTa4 at its relaxed geometry at the PBE level of DFT.

The structure in CIF format:
```
data_ThPaTa4
_chemical_formula_sum 'Th4 Pa4 Ta16'
_cell_length_a 8.094
_cell_length_b 8.094
_cell_length_c 8.094
_cell_angle_alpha 90.00
_cell_angle_beta 90.00
_cell_angle_gamma 90.00
_space_group_name_H-M_alt 'F -4 3 m'
_space_group_IT_number 216
_space_group_name_Hall 'F -4 2 3'
loop_
_atom_site_label
_atom_site_type_symbol
_atom_site_fract_x
_atom_site_fract_y
_atom_site_fract_z
_atom_site_occupancy
Th1 Th 0.000 0.000 0.000 1
Pa1 Pa 0.250 0.250 0.250 1
Ta1 Ta 0.124 0.124 0.624 1
```

- ΔH_f (0 K) (meV per atom) = 112

Computed, not measured: crystalline Tl2CuO at its relaxed geometry at the PBE level of DFT.

The structure in CIF format:
```
data_Tl2CuO
_chemical_formula_sum 'Tl8 Cu4 O4'
_cell_length_a 6.671
_cell_length_b 6.671
_cell_length_c 7.501
_cell_angle_alpha 90.00
_cell_angle_beta 90.00
_cell_angle_gamma 90.00
_space_group_name_H-M_alt 'I -4 2 d'
_space_group_IT_number 122
_space_group_name_Hall 'I -4 2bw'
loop_
_atom_site_label
_atom_site_type_symbol
_atom_site_fract_x
_atom_site_fract_y
_atom_site_fract_z
_atom_site_occupancy
Tl1 Tl 0.212 0.250 0.125 1
Cu1 Cu 0.000 0.000 0.500 1
O1 O 0.000 0.000 0.000 1
```

- uncorrected formation energy (eV/atom) = -0.072
- relative energy among the computed polymorphs (meV/atom) = 0

Please write out number 2 again, unchanged.
Computed, not measured: crystalline TbSmYEr at its relaxed geometry at the PBE level of DFT.

The structure in CIF format:
```
data_TbSmYEr
_chemical_formula_sum 'Tb4 Sm4 Y4 Er4'
_cell_length_a 8.049
_cell_length_b 8.049
_cell_length_c 8.049
_cell_angle_alpha 90.00
_cell_angle_beta 90.00
_cell_angle_gamma 90.00
_space_group_name_H-M_alt 'F -4 3 m'
_space_group_IT_number 216
_space_group_name_Hall 'F -4 2 3'
loop_
_atom_site_label
_atom_site_type_symbol
_atom_site_fract_x
_atom_site_fract_y
_atom_site_fract_z
_atom_site_occupancy
Tb1 Tb 0.000 0.000 0.000 1
Sm1 Sm 0.250 0.250 0.750 1
Y1 Y 0.250 0.250 0.250 1
Er1 Er 0.000 0.000 0.500 1
```

- ΔH_f (0 K) (meV per atom) = 138
- relative energy among the computed polymorphs (meV/atom) = 118

What did the sixth record say?
Computed, not measured: crystalline Tl2CuO at its relaxed geometry at the PBE level of DFT.

The structure in CIF format:
```
data_Tl2CuO
_chemical_formula_sum 'Tl8 Cu4 O4'
_cell_length_a 6.671
_cell_length_b 6.671
_cell_length_c 7.501
_cell_angle_alpha 90.00
_cell_angle_beta 90.00
_cell_angle_gamma 90.00
_space_group_name_H-M_alt 'I -4 2 d'
_space_group_IT_number 122
_space_group_name_Hall 'I -4 2bw'
loop_
_atom_site_label
_atom_site_type_symbol
_atom_site_fract_x
_atom_site_fract_y
_atom_site_fract_z
_atom_site_occupancy
Tl1 Tl 0.212 0.250 0.125 1
Cu1 Cu 0.000 0.000 0.500 1
O1 O 0.000 0.000 0.000 1
```

- uncorrected formation energy (eV/atom) = -0.072
- relative energy among the computed polymorphs (meV/atom) = 0